No. 1
{
  "formula": "UCo6SiB",
  "functional": "PBE",
  "state": "relaxed",
  "cell": [[-2.684, 3.946, 5.135], [2.684, -3.946, 5.135], [2.684, 3.946, -5.135]],
  "species": ["U", "U", "Co", "Co", "Co", "Co", "Co", "Co", "Co", "Co", "Co", "Co", "Co", "Co", "Si", "Si", "B", "B"],
  "frac_coords": [[0.448, 0.198, 0.250], [0.552, 0.802, 0.750], [0.128, 0.367, 0.242], [0.128, 0.886, 0.761], [0.187, 0.937, 0.250], [0.254, 0.504, 0.750], [0.375, 0.114, 0.742], [0.375, 0.633, 0.261], [0.625, 0.367, 0.739], [0.625, 0.886, 0.258], [0.746, 0.496, 0.250], [0.813, 0.063, 0.750], [0.872, 0.114, 0.239], [0.872, 0.633, 0.758], [0.000, 0.000, 0.500], [0.000, 0.500, 0.000], [0.000, 0.500, 0.500], [0.500, 0.500, 0.000]],
  "e_form_raw_mev_per_atom": -14.9,
  "total_energy_ry_per_atom": -0.54028,
  "spacegroup": "Imma (74)",
  "volume_a3_per_fu": 108.75
}

---

No. 2
{
  "formula": "LaSm5Ga4",
  "functional": "PBE",
  "state": "relaxed",
  "cell": [[3.619, 0.000, 0.000], [0.000, 3.619, 0.000], [0.000, 0.000, 20.297]],
  "species": ["La", "Sm", "Sm", "Sm", "Sm", "Sm", "Ga", "Ga", "Ga", "Ga"],
  "frac_coords": [[0.000, 0.000, 0.000], [0.500, 0.500, 0.135], [0.500, 0.500, 0.317], [0.500, 0.500, 0.500], [0.500, 0.500, 0.683], [0.500, 0.500, 0.865], [0.000, 0.000, 0.224], [0.000, 0.000, 0.408], [0.000, 0.000, 0.592], [0.000, 0.000, 0.776]],
  "total_energy_ry_per_atom": -0.33126,
  "spacegroup": "P4/mmm (123)",
  "e_form_mev_per_atom": -444,
  "volume_a3_per_fu": 265.79
}

---

No. 3
{
  "formula": "PmZn6Pt4",
  "functional": "PBE",
  "state": "relaxed",
  "cell": [[-3.345, 3.345, 4.706], [3.345, -3.345, 4.706], [3.345, 3.345, -4.706]],
  "species": ["Pm", "Zn", "Zn", "Zn", "Zn", "Zn", "Zn", "Pt", "Pt", "Pt", "Pt"],
  "frac_coords": [[0.000, 0.000, 0.000], [0.000, 0.500, 0.500], [0.128, 0.128, 0.655], [0.472, 0.472, 0.345], [0.500, 0.000, 0.500], [0.528, 0.872, 0.000], [0.872, 0.528, 0.000], [0.236, 0.609, 0.000], [0.391, 0.391, 0.627], [0.609, 0.236, 0.000], [0.764, 0.764, 0.373]],
  "e_above_lowest_polymorph_kj_per_mol_atoms": 10.7,
  "total_energy_ry_per_atom": -0.27999,
  "spacegroup": "I-42m (121)",
  "e_form_mev_per_atom": -486,
  "volume_a3_per_fu": 210.63
}

---

No. 4
{
  "formula": "Ho6C3Se",
  "functional": "PBE",
  "state": "relaxed",
  "cell": [[10.115, 0.000, 0.000], [0.000, 3.624, 0.000], [-4.787, 0.000, 11.647]],
  "species": ["Ho", "Ho", "Ho", "Ho", "Ho", "Ho", "Ho", "Ho", "Ho", "Ho", "Ho", "Ho", "C", "C", "C", "C", "C", "C", "Se", "Se"],
  "frac_coords": [[0.011, 0.250, 0.250], [0.139, 0.750, 0.579], [0.180, 0.750, 0.096], [0.317, 0.750, 0.386], [0.347, 0.250, 0.934], [0.479, 0.250, 0.221], [0.521, 0.750, 0.779], [0.653, 0.750, 0.066], [0.683, 0.250, 0.614], [0.820, 0.250, 0.904], [0.861, 0.250, 0.421], [0.989, 0.750, 0.750], [0.007, 0.750, 0.379], [0.248, 0.250, 0.244], [0.414, 0.750, 0.078], [0.586, 0.250, 0.922], [0.752, 0.750, 0.756], [0.993, 0.250, 0.621], [0.380, 0.250, 0.583], [0.620, 0.750, 0.417]],
  "e_form_raw_mev_per_atom": -589.6,
  "total_energy_ry_per_atom": -0.47420,
  "spacegroup": "P2_1/m (11)",
  "volume_a3_per_fu": 213.48
}

---

No. 5
{
  "formula": "CeEr7In4",
  "functional": "PBE",
  "state": "relaxed",
  "cell": [[7.263, -2.794, 0.000], [7.263, 2.794, 0.000], [-5.585, 0.000, 8.551]],
  "species": ["Ce", "Er", "Er", "Er", "Er", "Er", "Er", "Er", "In", "In", "In", "In"],
  "frac_coords": [[0.000, 0.000, 0.000], [0.067, 0.067, 0.403], [0.209, 0.209, 0.878], [0.270, 0.270, 0.325], [0.500, 0.500, 0.000], [0.730, 0.730, 0.675], [0.791, 0.791, 0.122], [0.933, 0.933, 0.597], [0.321, 0.321, 0.664], [0.440, 0.440, 0.247], [0.560, 0.560, 0.753], [0.679, 0.679, 0.336]],
  "total_energy_ry_per_atom": -0.30449,
  "spacegroup": "C2/m (12)",
  "e_form_mev_per_atom": -74,
  "volume_a3_per_fu": 347.11
}